1.
Entry from Alexandria via LeMat-Bulk: a geometry-optimized HoPPd structure (PBE-GGA).

Properties
The formation energy from the elements is -306 kJ/mol of formula units. The total energy is -18.4 eV/cell.

```
HoPPd
1.0
-2.863 0.022 -3.352
-0.039 -3.330 -2.888
-3.369 -2.843 -0.040
P Ho Pd
1 1 1
direct
0.250 0.250 0.250
0.500 0.500 0.500
0.000 0.000 0.000
```

2.
Entry from Alexandria via LeMat-Bulk: a geometry-optimized Np2HgBi4 structure (PBE-GGA).

Properties
The formation energy from the elements is 30 kJ/mol of formula units. The total energy is -41.4 eV/cell.

```
Np2HgBi4
1.0
-1.411 0.979 4.239
3.450 -2.462 1.717
5.871 8.259 0.046
Np Hg Bi
2 1 4
direct
0.500 0.000 0.752
0.000 0.500 0.248
0.500 0.500 0.000
0.500 0.000 0.195
0.000 0.500 0.805
0.500 0.500 0.500
0.000 0.000 0.500
```

3.
Entry from Alexandria via LeMat-Bulk: a geometry-optimized Ac4Pr3Te8 structure (PBE-GGA).

Properties
The uncorrected formation energy comes out at -1.490 eV/atom. The total energy is -78.3 eV/cell.

```
Ac4Pr3Te8
1.0
8.163 -0.182 -4.479
-5.271 7.615 -0.238
-0.226 0.128 9.261
Ac Pr Te
4 3 8
direct
0.500 0.000 0.000
0.000 0.500 0.000
0.000 0.000 0.000
0.000 0.000 0.500
0.500 0.500 0.000
0.500 0.000 0.500
0.500 0.500 0.500
0.515 0.261 0.261
0.000 0.742 0.258
0.008 0.262 0.262
0.500 0.746 0.254
0.500 0.254 0.746
0.992 0.738 0.738
0.000 0.258 0.742
0.485 0.739 0.739
```

4.
Entry from Alexandria via LeMat-Bulk: a geometry-optimized Rb4S structure (PBE-GGA).

Properties
The uncorrected formation energy comes out at -0.499 eV/atom. The total energy is -10.5 eV/cell.

```
Rb4S
1.0
6.709 0.000 0.000
0.000 6.709 0.000
0.000 0.000 6.709
S Rb
1 4
direct
0.500 0.500 0.500
0.000 0.000 0.000
0.500 0.000 0.500
0.000 0.500 0.500
0.500 0.500 0.000
```

5.
Entry from Alexandria via LeMat-Bulk: a geometry-optimized InAgTe2 structure (PBE-GGA).

Properties
The uncorrected formation energy comes out at 0.050 eV/atom. The total energy is -11.7 eV/cell.

```
InAgTe2
1.0
3.166 0.000 0.000
0.000 4.157 0.000
0.000 0.000 8.333
Te Ag In
2 1 1
direct
0.000 0.000 0.023
0.000 0.000 0.477
0.500 0.500 0.250
0.500 0.500 0.750
```

6.
Entry from Alexandria via LeMat-Bulk: a geometry-optimized Zn3BiF structure (PBE-GGA).

Properties
The uncorrected formation energy comes out at -0.226 eV/atom. The total energy is -10.7 eV/cell.

```
Zn3BiF
1.0
4.606 0.000 0.000
0.000 4.606 0.000
0.000 0.000 4.606
Zn Bi F
3 1 1
direct
0.000 0.500 0.000
0.000 0.000 0.500
0.500 0.000 0.000
0.500 0.500 0.500
0.000 0.000 0.000
```

7.
Entry from Alexandria via LeMat-Bulk: a geometry-optimized LiAcZn2O4 structure (PBE-GGA).

Properties
The uncorrected formation energy comes out at -1.958 eV/atom. The total energy is -44.1 eV/cell.

```
LiAcZn2O4
1.0
-1.943 4.599 -2.092
-4.666 0.102 -2.444
-3.971 2.566 2.325
Li Ac Zn O
1 1 2 4
direct
0.500 0.500 0.500
0.000 0.000 0.000
0.250 0.250 0.250
0.750 0.750 0.750
0.445 0.125 0.555
0.125 0.875 0.445
0.875 0.555 0.125
0.555 0.445 0.875
```

8.
Entry from Alexandria via LeMat-Bulk: a geometry-optimized Sm2B2PdRh5 structure (PBE-GGA).

Properties
The formation energy from the elements is -565 kJ/mol of formula units. The total energy is -141.2 eV/cell.

```
Sm2B2PdRh5
1.0
-0.049 3.238 0.157
-2.506 -0.490 9.314
9.326 0.018 2.510
Sm B Pd Rh
4 4 2 10
direct
0.000 0.678 0.178
0.000 0.322 0.822
0.000 0.178 0.322
0.000 0.822 0.678
0.000 0.122 0.622
0.000 0.878 0.378
0.000 0.622 0.878
0.000 0.378 0.122
0.000 0.000 0.000
0.000 0.500 0.500
0.500 0.228 0.070
0.500 0.772 0.930
0.500 0.070 0.772
0.500 0.728 0.430
0.500 0.930 0.228
0.500 0.272 0.570
0.500 0.570 0.728
0.500 0.430 0.272
0.500 0.500 0.000
0.500 0.000 0.500
```